Record 1
Entry from Alexandria: crystalline Ce2Al3Pt12Rh at its relaxed geometry (PBE).

Summary:
* calculated total energy: -6.18 eV/atom
* density of states at the Fermi level: 0.47 states/eV/atom
* energy relative to the elements: -461 meV per atom
* mass density: 13.105 g/cm³

Lattice parameters (Å, degrees): 8.1632 8.1632 18.4770 90.00 90.00 120.00
Last column: nearest neighbours and their distance in Å.
Space group R-3m (No. 166, hexagonal axes)
Inequivalent atoms, fractional coordinates:
Ce: 0.0000 0.0000 0.1181  6 Pt 2.71-2.76
Al: 0.0000 0.5000 0.0000  6 Pt 2.44-2.47
Pt: 0.0059 0.5030 0.3771  2 Al 2.47, 1 Ce 2.76
Pt: 0.0185 0.5092 0.8682  1 Al 2.44, 1 Rh 2.57, 1 Ce 2.71
Rh: 0.0000 0.0000 0.5000  6 Pt 2.57

Record 2
Entry from Alexandria: crystalline As2PtCl at its relaxed geometry (PBE).

Summary:
* calculated total energy: -4.16 eV/atom
* E_form (uncorrected): 53 kJ/mol of formula units
* density of states at the Fermi level: 0.65 states/eV/atom
* mass density: 7.638 g/cm³

Lattice parameters (Å, degrees): 3.4307 3.4307 7.0264 90.00 90.00 90.00
Last column: nearest neighbours and their distance in Å.
Space group P4mm (No. 99)
Inequivalent atoms, fractional coordinates:
As: 0.0000 0.0000 0.0000  4 Pt 2.67, 4 As 2.82, 1 Cl 2.96
As: 0.5000 0.5000 0.2056  1 Pt 2.56, 4 As 2.82
Pt: 0.5000 0.5000 0.8416  5 As 2.56-2.67
Cl: 0.0000 0.0000 0.5783  1 As 2.96, 4 Pt 3.05

Record 3
Entry from Alexandria: crystalline LiCa2Lu at its relaxed geometry (PBE).

Summary:
* calculated total energy: -2.32 eV/atom
* density of states at the Fermi level: 1.10 states/eV/atom
* energy relative to the elements: 289 meV per atom
* mass density: 3.205 g/cm³

Lattice parameters (Å, degrees): 3.5523 3.5523 37.2696 90.00 90.00 120.00
Last column: nearest neighbours and their distance in Å.
Space group R-3m (No. 166, hexagonal axes)
Inequivalent atoms, fractional coordinates:
Li: 0.0000 0.0000 0.0000  6 Ca 3.51, 6 Li 3.55
Ca: 0.0000 0.0000 0.4097  1 Lu 3.36, 3 Li 3.51, 6 Ca 3.55
Lu: 0.0000 0.0000 0.5000  2 Ca 3.36, 6 Lu 3.55

Record 4
Entry from Alexandria: crystalline Tb2Pr5Sc at its relaxed geometry (PBE).

Summary:
* calculated total energy: -4.88 eV/atom
* density of states at the Fermi level: 1.56 states/eV/atom
* energy relative to the elements: 56 meV per atom
* mass density: 6.553 g/cm³

Lattice parameters (Å, degrees): 3.6044 11.2359 13.3576 90.00 90.00 90.00
Last column: nearest neighbours and their distance in Å.
Space group Immm (No. 71)
Inequivalent atoms, fractional coordinates:
Tb: 0.0000 0.0000 0.2455  1 Sc 3.40, 8 Pr 3.42-3.74, 2 Tb 3.60
Pr: 0.0000 0.2716 0.1293  3 Tb 3.42-3.55, 5 Pr 3.45-3.73, 2 Sc 3.58
Pr: 0.0000 0.5000 0.5000  10 Pr 3.60-3.94, 4 Tb 3.74
Sc: 0.0000 0.0000 0.5000  2 Tb 3.40, 8 Pr 3.58, 2 Sc 3.60

Record 5
Entry from Alexandria: crystalline LiTmZrRu at its relaxed geometry (PBE).

Summary:
* calculated total energy: -6.35 eV/atom
* density of states at the Fermi level: 0.86 states/eV/atom
* energy relative to the elements: -294 meV per atom
* mass density: 8.073 g/cm³

Lattice parameters (Å, degrees): 6.7158 6.7158 6.7158 90.00 90.00 90.00
Last column: nearest neighbours and their distance in Å.
Space group F-43m (No. 216)
Inequivalent atoms, fractional coordinates:
Li: 0.0000 0.0000 0.0000  4 Zr 2.91, 4 Tm 2.91
Tm: 0.2500 0.2500 0.7500  4 Li 2.91, 4 Ru 2.91
Zr: 0.2500 0.2500 0.2500  4 Li 2.91, 4 Ru 2.91
Ru: 0.0000 0.0000 0.5000  4 Zr 2.91, 4 Tm 2.91

Record 6
Entry from Alexandria: crystalline AgPt2 at its relaxed geometry (PBE).

Summary:
* calculated total energy: -4.91 eV/atom
* density of states at the Fermi level: 1.49 states/eV/atom
* energy relative to the elements: 67 meV per atom
* mass density: 16.949 g/cm³

Lattice parameters (Å, degrees): 2.7820 4.1058 8.5437 90.00 90.00 90.00
Last column: nearest neighbours and their distance in Å.
Space group Immm (No. 71)
Inequivalent atoms, fractional coordinates:
Ag: 0.0000 0.0000 0.0000  2 Ag 2.78, 10 Pt 2.82-2.87
Pt: 0.0000 0.0000 0.3299  7 Pt 2.78-2.91, 5 Ag 2.82-2.87